No. 1
Compound: ZnAg8Au6
Source: Alexandria
Functional: PBE
Structure: optimized geometry

abc: 7.2410 7.2410 7.2410
angles: 65.51 65.51 65.51
Sites, in units of the cell vectors:
Zn (0.0000, 0.0000, 0.0000)
Ag (0.1101, 0.7785, 0.4772)
Ag (0.2215, 0.5228, 0.8899)
Ag (0.3142, 0.3142, 0.3142)
Ag (0.4772, 0.1101, 0.7785)
Ag (0.5228, 0.8899, 0.2215)
Ag (0.6858, 0.6858, 0.6858)
Ag (0.7785, 0.4772, 0.1101)
Ag (0.8899, 0.2215, 0.5228)
Au (0.0627, 0.3599, 0.7209)
Au (0.2791, 0.9373, 0.6401)
Au (0.3599, 0.7209, 0.0627)
Au (0.6401, 0.2791, 0.9373)
Au (0.7209, 0.0627, 0.3599)
Au (0.9373, 0.6401, 0.2791)

Calculated values
E: -2.86 eV/atom
Space group: R-3, No. 148
E_form: 0.053 eV per atom


No. 2
Compound: MnZn2Co
Source: Alexandria
Functional: PBE
Structure: optimized geometry

abc: 3.9815 3.9815 13.0867
angles: 90.00 90.00 90.00
Sites, in units of the cell vectors:
Mn (0.0000, 0.0000, 0.1387)
Mn (0.0000, 0.0000, 0.8613)
Mn (0.5000, 0.5000, 0.3613)
Mn (0.5000, 0.5000, 0.6387)
Zn (0.0000, 0.0000, 0.3638)
Zn (0.0000, 0.0000, 0.6362)
Zn (0.0000, 0.5000, 0.0000)
Zn (0.0000, 0.5000, 0.5000)
Zn (0.5000, 0.0000, 0.0000)
Zn (0.5000, 0.0000, 0.5000)
Zn (0.5000, 0.5000, 0.1362)
Zn (0.5000, 0.5000, 0.8638)
Co (0.0000, 0.5000, 0.2500)
Co (0.0000, 0.5000, 0.7500)
Co (0.5000, 0.0000, 0.2500)
Co (0.5000, 0.0000, 0.7500)

Calculated values
E: -4.73 eV/atom
Space group: I4/mmm, No. 139
E_form: -0.022 eV per atom